# 1
16
Lattice="2.452 0.000 0.000 0.000 2.452 0.000 0.000 0.000 39.466" Properties=species:S:1:pos:R:3 comment="GGA-PBE Ni, optimized geometry" final_energy_ev_per_atom=-5.444 de_polymorph_ev_per_atom=0.1236 ef_ev_per_atom=0.124 spacegroup=P4mm pbc="T T T"
Ni 0.000 0.000 0.000
Ni 0.000 0.000 3.458
Ni 0.000 0.000 6.960
Ni 0.000 0.000 10.430
Ni 0.000 0.000 13.916
Ni 0.000 0.000 17.472
Ni 0.000 0.000 32.456
Ni 0.000 0.000 35.942
Ni 1.226 1.226 1.731
Ni 1.226 1.226 5.203
Ni 1.226 1.226 8.690
Ni 1.226 1.226 12.177
Ni 1.226 1.226 15.666
Ni 1.226 1.226 19.169
Ni 1.226 1.226 34.168
Ni 1.226 1.226 37.697



# 2
18
Lattice="3.872 -1.730 0.000 3.872 1.730 0.000 -0.123 0.000 28.056" Properties=species:S:1:pos:R:3 comment="GGA-PBE Ni, optimized geometry" final_energy_ev_per_atom=-5.325 de_polymorph_ev_per_atom=0.2424 ef_ev_per_atom=0.242 spacegroup=Cm pbc="T T T"
Ni 0.000 0.000 0.000
Ni 0.758 0.000 2.356
Ni 0.682 0.000 22.561
Ni 1.515 0.000 4.636
Ni 1.437 0.000 24.911
Ni 2.202 0.000 27.270
Ni 2.249 0.000 19.486
Ni 3.079 0.000 1.567
Ni 3.004 0.000 21.777
Ni 3.858 0.000 3.924
Ni 3.763 0.000 24.126
Ni 4.529 0.000 26.486
Ni 5.311 0.000 20.943
Ni 5.415 0.000 0.789
Ni 6.091 0.000 23.337
Ni 6.194 0.000 3.183
Ni 6.854 0.000 25.695
Ni 7.647 0.000 20.195



# 3
10
Lattice="6.709 0.000 0.000 0.000 6.709 0.000 0.000 0.000 2.525" Properties=species:S:1:pos:R:3 comment="GGA-PBE Ni, optimized geometry" final_energy_ev_per_atom=-5.339 de_polymorph_ev_per_atom=0.2291 ef_ev_per_atom=0.229 spacegroup=P4/mbm pbc="T T T"
Ni 0.000 0.000 0.000
Ni 0.852 2.502 0.000
Ni 1.143 4.497 1.263
Ni 2.212 1.143 1.263
Ni 2.502 5.857 0.000
Ni 3.355 3.355 0.000
Ni 4.207 0.852 0.000
Ni 4.497 5.566 1.263
Ni 5.566 2.212 1.263
Ni 5.857 4.207 0.000